Entry a
{"formula": "BiPtCl2", "functional": "PBEsol", "state": "relaxed", "dos_at_fermi_per_ev_atom": 1.25, "magnetic_moment_mub_per_fu": 0.402, "lattice": [[-2.567, 2.402, 0.379], [-2.656, -0.593, 2.257], [2.750, 4.412, 7.163]], "species": ["Bi", "Pt", "Cl", "Cl"], "frac_coords": [[0.000, 0.000, 0.000], [0.500, 0.500, 0.500], [0.892, 0.892, 0.323], [0.108, 0.108, 0.677]]}

---

Entry b
{"formula": "BiPtCl2", "functional": "PBEsol", "state": "relaxed", "dos_at_fermi_per_ev_atom": 0.35, "magnetic_moment_mub_per_fu": 0.000, "lattice": [[4.816, 0.000, 0.000], [2.408, 4.171, 0.000], [2.408, 1.390, 3.932]], "species": ["Cl", "Cl", "Pt", "Bi"], "frac_coords": [[0.250, 0.250, 0.250], [0.750, 0.750, 0.750], [0.000, 0.000, 0.000], [0.500, 0.500, 0.500]]}

---

On energetic grounds, entry a is preferred over the next structure by 91 meV/atom.

---

Entry a
{"formula": "SiBi2Cl", "functional": "PBEsol", "state": "relaxed", "dos_at_fermi_per_ev_atom": 0.34, "magnetic_moment_mub_per_fu": 0.000, "lattice": [[-2.918, 3.604, -2.048], [-4.734, 0.686, 1.679], [-1.164, 4.144, 2.678]], "species": ["Si", "Bi", "Bi", "Cl"], "frac_coords": [[0.000, 0.000, 0.000], [0.250, 0.250, 0.250], [0.750, 0.750, 0.750], [0.500, 0.500, 0.500]]}

---

Entry b
{"formula": "SiBi2Cl", "functional": "PBEsol", "state": "relaxed", "dos_at_fermi_per_ev_atom": 0.79, "magnetic_moment_mub_per_fu": 0.000, "lattice": [[8.237, 0.000, 0.000], [-4.118, 4.891, 1.708], [0.000, 4.535, 6.876]], "species": ["Bi", "Cl", "Si", "Cl", "Bi", "Bi", "Si", "Bi"], "frac_coords": [[0.580, 0.750, 0.375], [0.750, 0.500, 0.750], [0.250, 0.500, 0.250], [0.000, 0.000, 0.000], [0.375, 0.250, 0.170], [0.170, 0.750, 0.875], [0.500, 0.000, 0.500], [0.875, 0.250, 0.580]]}

---

On energetic grounds, entry a is preferred over the next structure by 52 meV/atom.